Entry 1:
DFT (PBE) results for an optimized crystal structure of BaSnAu2.

Results
- Uncorrected energy: -3.689 eV/atom
- Energy of formation from the pure elements: -0.569 eV per atom
- Symmetry: R-3m, No. 166
- DOS at the Fermi energy: 1.361 states/eV/f.u.
- Density: 9.40 g/cm3

extended XYZ file:
```
4
Lattice="-3.039 2.114 -3.088 -4.475 1.113 1.404 -0.689 6.202 1.162" Properties=species:S:1:pos:R:3 pbc="T T T"
Au -1.836 2.963 0.073
Au -6.367 6.466 -0.595
Ba 0.000 0.000 0.000
Sn -4.101 4.715 -0.261
```

Entry 2:
DFT (PBE) results for an optimized crystal structure of SrPtBr.

Results
- Uncorrected energy: -3.703 eV/atom
- Symmetry: F-43m, No. 216
- E_form (uncorrected): -0.571 eV/atom
- DOS at the Fermi energy: 1.980 states/eV/f.u.
- Density: 6.93 g/cm3

extended XYZ file:
```
3
Lattice="4.972 0.000 0.000 2.486 4.306 0.000 2.486 1.435 4.060" Properties=species:S:1:pos:R:3 pbc="T T T"
Sr 0.000 0.000 0.000
Br 4.972 2.871 2.030
Pt 7.459 4.306 3.045
```

Entry 3:
DFT (PBE) results for an optimized crystal structure of Hf3Zr2Ti3.

Results
- Uncorrected energy: -8.699 eV/atom
- Energy of formation from the pure elements: 0.131 eV per atom
- Symmetry: C2/m, No. 12
- DOS at the Fermi energy: 11.702 states/eV/f.u.
- Density: 8.55 g/cm3

extended XYZ file:
```
8
Lattice="4.828 -0.001 0.856 -0.269 4.961 1.519 1.158 1.029 7.513" Properties=species:S:1:pos:R:3 pbc="T T T"
Zr 1.705 2.048 4.429
Zr 4.013 3.942 5.459
Hf 0.000 0.000 0.000
Hf 4.433 1.921 3.086
Hf 1.285 4.069 6.802
Ti 3.874 1.068 6.238
Ti 2.280 2.480 1.187
Ti 1.844 4.922 3.650
```

Entry 4:
DFT (PBE) results for an optimized crystal structure of ZnIr2Pb.

Results
- Uncorrected energy: -5.461 eV/atom
- Energy of formation from the pure elements: 0.215 eV per atom
- Symmetry: Imm2, No. 44
- DOS at the Fermi energy: 1.791 states/eV/f.u.
- Density: 14.57 g/cm3

extended XYZ file:
```
4
Lattice="-4.877 -2.501 -3.935 -5.796 -3.322 0.949 4.325 5.115 0.811" Properties=species:S:1:pos:R:3 pbc="T T T"
Pb -4.853 -2.648 -1.358
Zn -2.556 0.063 -2.200
Ir -0.819 -0.447 -0.229
Ir -3.457 -0.588 0.118
```

Entry 5:
DFT (PBE) results for an optimized crystal structure of Li2Mg7Zn2.

Results
- Uncorrected energy: -1.638 eV/atom
- Energy of formation from the pure elements: -0.043 eV per atom
- Symmetry: C2/m, No. 12
- DOS at the Fermi energy: 4.550 states/eV/f.u.
- Density: 2.36 g/cm3

extended XYZ file:
```
11
Lattice="5.521 -0.247 -0.865 -0.665 5.487 -0.865 -0.130 -0.140 7.391" Properties=species:S:1:pos:R:3 pbc="T T T"
Li 2.800 3.022 5.112
Li 1.926 2.078 0.548
Mg 2.314 4.871 0.199
Mg 4.681 2.677 0.199
Mg 2.412 0.229 5.462
Mg 0.000 0.000 0.000
Mg 0.738 0.796 2.842
Mg 3.988 4.304 2.819
Mg 0.045 2.423 5.462
Zn 1.237 3.593 2.830
Zn 3.489 1.506 2.830
```

Entry 6:
DFT (PBE) results for an optimized crystal structure of PmSn4Pd2Rh.

Results
- Uncorrected energy: -5.327 eV/atom
- Energy of formation from the pure elements: -0.514 eV per atom
- Symmetry: R-3m, No. 166
- DOS at the Fermi energy: 2.504 states/eV/f.u.
- Density: 9.20 g/cm3

extended XYZ file:
```
8
Lattice="4.587 0.000 0.000 2.293 3.972 0.000 2.293 1.324 9.265" Properties=species:S:1:pos:R:3 pbc="T T T"
Pd 6.880 3.972 6.678
Pd 2.293 1.324 2.587
Sn 4.587 2.648 7.522
Sn 6.880 3.972 3.620
Sn 4.587 2.648 1.743
Sn 2.293 1.324 5.645
Rh 4.587 2.648 4.633
Pm 0.000 0.000 0.000
```

> Look up the density of the third one.

8.55 g/cm3

> What is the density in the fourth record?

14.57 g/cm3

> What is the density in the second record?

6.93 g/cm3